Below is a relaxed In2FeSbO6 crystal, with properties calculated at the GGA+U level.

Cell lengths 5.5172, 5.5594, 5.8210 Å; angles 91.09, 117.57, 119.55 degrees
With the nearest neighbours (Å) after each atom.
Sites, in units of the cell vectors:
In 0.0000 0.0000 0.0000  6 O 2.16-2.31
In 0.0049 0.5013 0.5055  6 O 2.16-2.36
Fe 0.5749 0.7888 0.3569  6 O 2.10-2.32
Sb 0.5795 0.2908 0.8690  6 O 2.12-2.18
O 0.0676 0.3964 0.1634  1 Sb 2.16, 2 In 2.16-2.28, 1 Fe 2.20
O 0.0913 0.1882 0.6756  1 Sb 2.12, 2 In 2.16-2.31, 1 Fe 2.28
O 0.4910 0.0989 0.1647  2 In 2.16-2.31, 1 Sb 2.16, 1 Fe 2.20
O 0.4907 0.9022 0.6678  1 Sb 2.15, 2 In 2.17-2.31, 1 Fe 2.22
O 0.7666 0.6796 0.1668  1 Fe 2.10, 1 In 2.18, 1 Sb 2.18
O 0.7731 0.5862 0.6792  1 Sb 2.12, 2 In 2.16-2.28, 1 Fe 2.32

Results
total moment: 0.355 μB/atom
final energy: -59.01 eV/cell
crystal system: triclinic